Material: Li3Zr3NpSe8
Method: DFT, PBE
State: relaxed

extended XYZ file:
```
15
Lattice="7.685 0.000 0.000 -3.843 6.655 -0.027 0.000 -4.413 6.596" Properties=species:S:1:pos:R:3 pbc="T T T"
Zr -1.921 1.121 3.284
Se 1.997 -1.061 1.635
Se 5.688 -1.061 1.635
Zr 3.843 -2.207 3.298
Li 1.921 3.327 -0.014
Li -1.921 3.327 -0.014
Se 3.843 0.019 4.938
Se 3.843 2.135 1.622
Se 0.000 0.106 4.946
Zr 1.921 1.121 3.284
Se 0.000 2.223 1.630
Np 0.000 -2.206 3.298
Li 0.000 0.000 0.000
Se -1.846 3.302 4.933
Se 1.845 3.302 4.933
```

E: -91.5 eV per cell
Space-group type: R-3m

Material: Li4Zr3NpSe8
Method: DFT, PBE
State: relaxed

extended XYZ file:
```
16
Lattice="7.685 0.000 0.000 0.000 7.961 0.189 -3.842 -3.839 5.436" Properties=species:S:1:pos:R:3 pbc="T T T"
Se 1.984 1.943 0.057
Se 0.000 0.072 2.766
Li 3.842 0.000 0.000
Li -1.921 -1.920 2.718
Li 1.921 -1.920 2.718
Li 0.000 0.000 0.000
Se 0.000 4.036 2.939
Zr 3.842 3.981 0.095
Zr -1.921 2.061 2.813
Se 1.858 2.179 5.568
Se -1.858 2.179 5.568
Se 5.701 1.943 0.057
Np 0.000 3.981 0.095
Zr 1.921 2.061 2.813
Se 3.842 0.086 2.687
Se 3.842 4.050 2.860
```

E: -94.7 eV per cell
Space-group type: R-3m

Material: LiNpSi4
Method: DFT, PBE
State: relaxed

extended XYZ file:
```
6
Lattice="-4.388 1.978 1.837 -2.292 -2.162 4.076 -0.025 2.442 4.537" Properties=species:S:1:pos:R:3 pbc="T T T"
Si -4.188 0.180 4.252
Si -1.982 0.415 5.617
Si -4.200 1.415 6.546
Np -1.676 0.565 2.613
Li 0.000 0.000 0.000
Si -3.041 2.508 4.485
```

E: -37.1 eV per cell
Space-group type: F-43m

Copy entry 1 word for word.
Material: Li3Zr3NpSe8
Method: DFT, PBE
State: relaxed

extended XYZ file:
```
15
Lattice="7.685 0.000 0.000 -3.843 6.655 -0.027 0.000 -4.413 6.596" Properties=species:S:1:pos:R:3 pbc="T T T"
Zr -1.921 1.121 3.284
Se 1.997 -1.061 1.635
Se 5.688 -1.061 1.635
Zr 3.843 -2.207 3.298
Li 1.921 3.327 -0.014
Li -1.921 3.327 -0.014
Se 3.843 0.019 4.938
Se 3.843 2.135 1.622
Se 0.000 0.106 4.946
Zr 1.921 1.121 3.284
Se 0.000 2.223 1.630
Np 0.000 -2.206 3.298
Li 0.000 0.000 0.000
Se -1.846 3.302 4.933
Se 1.845 3.302 4.933
```

E: -91.5 eV per cell
Space-group type: R-3m

- E of number 3 (LiNpSi4)?
  -37.1 eV per cell

- Among the records above, which one has the lowest E?
  Li4Zr3NpSe8